Record 1
# YTaIN2 PBE relaxed
data_YTaIN2
_chemical_formula_sum 'Y1 Ta1 I1 N2'
_symmetry_space_group_name_H-M 'P 4/m m m'
_symmetry_Int_Tables_number 123
_symmetry_space_group_name_Hall '-P 4 2'
_cell_length_a 4.340
_cell_length_b 4.340
_cell_length_c 5.757
_cell_angle_alpha 90.00
_cell_angle_beta 90.00
_cell_angle_gamma 90.00
loop_
_atom_site_label
_atom_site_type_symbol
_atom_site_fract_x
_atom_site_fract_y
_atom_site_fract_z
Y1 Y 0.000 0.000 0.000
Ta1 Ta 0.500 0.500 0.500
I1 I 0.000 0.000 0.500
N1 N 0.000 0.500 0.000
# - energy relative to the lowest polymorph listed for this composition (eV/f.u.) = 7.26
# - uncorrected formation energy (eV/atom) = 1.473
# - raw total energy (eV per atom) = -5.831

***

Record 2
# CaCuBr3 PBE relaxed
data_CaCuBr3
_chemical_formula_sum 'Ca2 Cu2 Br6'
_symmetry_space_group_name_H-M 'P 1 21/m 1'
_symmetry_Int_Tables_number 11
_symmetry_space_group_name_Hall '-P 2yb'
_cell_length_a 7.834
_cell_length_b 4.036
_cell_length_c 9.762
_cell_angle_alpha 90.00
_cell_angle_beta 105.19
_cell_angle_gamma 90.00
loop_
_atom_site_label
_atom_site_type_symbol
_atom_site_fract_x
_atom_site_fract_y
_atom_site_fract_z
Ca1 Ca 0.233 0.250 0.183
Cu1 Cu 0.194 0.250 0.730
Br1 Br 0.110 0.750 0.359
Br2 Br 0.182 0.750 0.950
Br3 Br 0.476 0.250 0.703
# - energy relative to the lowest polymorph listed for this composition (eV/f.u.) = 0.09
# - uncorrected formation energy (eV/atom) = -1.254
# - raw total energy (eV per atom) = -3.477

***

Record 3
# CsCd2AuS PBE relaxed
data_CsCd2AuS
_chemical_formula_sum 'Cs1 Cd2 Au1 S1'
_symmetry_space_group_name_H-M 'P 4/m m m'
_symmetry_Int_Tables_number 123
_symmetry_space_group_name_Hall '-P 4 2'
_cell_length_a 5.381
_cell_length_b 5.381
_cell_length_c 5.403
_cell_angle_alpha 90.00
_cell_angle_beta 90.00
_cell_angle_gamma 90.00
loop_
_atom_site_label
_atom_site_type_symbol
_atom_site_fract_x
_atom_site_fract_y
_atom_site_fract_z
Cs1 Cs 0.000 0.000 0.000
Cd1 Cd 0.000 0.500 0.500
Au1 Au 0.500 0.500 0.500
S1 S 0.500 0.500 0.000
# - energy relative to the lowest polymorph listed for this composition (eV/f.u.) = 0.00
# - uncorrected formation energy (eV/atom) = -0.167
# - raw total energy (eV per atom) = -2.185

***

Copy entry 2 word for word.
# CaCuBr3 PBE relaxed
data_CaCuBr3
_chemical_formula_sum 'Ca2 Cu2 Br6'
_symmetry_space_group_name_H-M 'P 1 21/m 1'
_symmetry_Int_Tables_number 11
_symmetry_space_group_name_Hall '-P 2yb'
_cell_length_a 7.834
_cell_length_b 4.036
_cell_length_c 9.762
_cell_angle_alpha 90.00
_cell_angle_beta 105.19
_cell_angle_gamma 90.00
loop_
_atom_site_label
_atom_site_type_symbol
_atom_site_fract_x
_atom_site_fract_y
_atom_site_fract_z
Ca1 Ca 0.233 0.250 0.183
Cu1 Cu 0.194 0.250 0.730
Br1 Br 0.110 0.750 0.359
Br2 Br 0.182 0.750 0.950
Br3 Br 0.476 0.250 0.703
# - energy relative to the lowest polymorph listed for this composition (eV/f.u.) = 0.09
# - uncorrected formation energy (eV/atom) = -1.254
# - raw total energy (eV per atom) = -3.477

***

Q: The highest energy relative to the lowest polymorph listed for this composition belongs to which entry?
A: YTaIN2

***

Q: The highest energy relative to the lowest polymorph listed for this composition belongs to which entry?
A: YTaIN2